[1]
Material: Pa3Co2Ni9
Method: DFT, PBE
State: relaxed

Output
Uncorrected energy   -7.072 eV per atom
Crystal system   orthorhombic
Spin magnetization   0.00 μB/atom
E_form   -0.306 eV per atom

```
Pa3Co2Ni9
1.0
-2.028 4.293 5.723
2.028 -4.293 5.723
2.028 4.293 -5.723
Pa Co Ni
3 2 9
Direct
0.000 0.000 0.000
0.318 0.318 0.000
0.682 0.682 0.000
0.312 0.500 0.812
0.688 0.500 0.188
0.040 0.682 0.358
0.148 0.887 0.261
0.323 0.682 0.642
0.375 0.113 0.261
0.500 0.000 0.500
0.625 0.887 0.739
0.677 0.318 0.358
0.852 0.113 0.739
0.960 0.318 0.642
```

[2]
Material: Pa3Co4Ni4
Method: DFT, PBE
State: relaxed

Output
Uncorrected energy   -7.265 eV per atom
Crystal system   cubic
Spin magnetization   0.00 μB/atom
E_form   0.011 eV per atom

```
Pa3Co4Ni4
1.0
-3.504 3.504 3.504
3.504 -3.504 3.504
3.504 3.504 -3.504
Pa Co Ni
3 4 4
Direct
0.000 0.500 0.500
0.500 0.000 0.500
0.500 0.500 0.000
0.000 0.000 0.604
0.000 0.604 0.000
0.396 0.396 0.396
0.604 0.000 0.000
0.000 0.000 0.245
0.000 0.245 0.000
0.245 0.000 0.000
0.755 0.755 0.755
```

[3]
Material: Pa5Co2Ni5
Method: DFT, PBE
State: relaxed

Output
Uncorrected energy   -7.875 eV per atom
Crystal system   triclinic
Spin magnetization   0.00 μB/atom
E_form   -0.325 eV per atom

```
Pa5Co2Ni5
1.0
3.653 0.000 0.000
1.797 7.397 0.000
1.822 -0.186 7.920
Pa Co Ni
5 2 5
Direct
0.000 0.000 0.000
0.305 0.801 0.590
0.386 0.407 0.823
0.614 0.593 0.177
0.695 0.199 0.410
0.377 0.006 0.241
0.623 0.994 0.759
0.000 0.500 0.500
0.065 0.207 0.662
0.263 0.323 0.149
0.737 0.677 0.851
0.935 0.793 0.338
```

[4]
Material: Pa2Co5Ni12
Method: DFT, PBE
State: relaxed

Output
Uncorrected energy   -6.724 eV per atom
Crystal system   trigonal
Spin magnetization   0.52 μB/atom
E_form   -0.203 eV per atom

```
Pa2Co5Ni12
1.0
4.125 2.381 4.026
-4.125 2.381 4.026
0.000 -4.763 4.026
Pa Co Ni
2 5 12
Direct
0.162 0.162 0.162
0.838 0.838 0.838
0.000 0.500 0.500
0.403 0.403 0.403
0.500 0.000 0.500
0.500 0.500 0.000
0.597 0.597 0.597
0.154 0.154 0.653
0.154 0.653 0.154
0.199 0.500 0.801
0.199 0.801 0.500
0.347 0.846 0.846
0.500 0.199 0.801
0.500 0.801 0.199
0.653 0.154 0.154
0.801 0.199 0.500
0.801 0.500 0.199
0.846 0.347 0.846
0.846 0.846 0.347
```